(1)
## BaH3Se (GGA-PBE)

Data for BaH3Se after structural relaxation.

Geometry as POSCAR:
```
BaH3Se
1.0
4.2362 0.0000 0.0000
0.0000 4.2362 0.0000
0.0000 0.0000 4.2362
H Ba Se
3 1 1
direct
0.5000 0.0000 0.0000 H
0.0000 0.5000 0.0000 H
0.0000 0.0000 0.5000 H
0.5000 0.5000 0.5000 Ba
0.0000 0.0000 0.0000 Se
```

Values from the calculation:
Crystal system: cubic
Symmetry: No. 221

***

(2)
## KZnGa2Rh (GGA-PBE)

Data for KZnGa2Rh after structural relaxation.

Geometry as POSCAR:
```
KZnGa2Rh
1.0
-1.0218 2.6107 -3.9236
1.5055 -3.6236 -2.8031
-4.6273 -1.8847 -0.0489
Ga Rh K Zn
2 1 1 1
direct
0.0000 0.5000 0.0000 Ga
0.5000 0.0000 0.0000 Ga
0.0000 0.0000 0.0000 Rh
0.5000 0.5000 0.5000 K
0.0000 0.0000 0.5000 Zn
```

Values from the calculation:
Crystal system: tetragonal
Symmetry: No. 123

***

The calculation returns the following energy values, one per record and in order: -3.0238 -3.4625 eV per atom.
The calculation returns the following M_tot values, one per record and in order: 0.0 0.0 μB/f.u..